CoReHgAs | the Open Quantum Materials Database | PBE-GGA | relaxed; SG = No. 216; total DFT energy (no corrections) = -0.3718 Ry/atom; distance to the lowest polymorph of the same formula = 0.3377 eV per atom
1.0
0.000 3.215 3.215
3.215 0.000 3.215
3.215 3.215 0.000
Co Re Hg As
1 1 1 1
Cartesian
0.000 0.000 0.000 Co
1.608 1.608 1.608 Re
3.215 3.215 3.215 Hg
4.823 4.823 4.823 As